Computed, not measured: K2In2Pb after structural relaxation at the PBE level of DFT.

Space-group type: No. 127
Energy above the most stable polymorph in this dataset (meV per atom): 0
Total magnetization (μB per formula unit): 0.00
DFT formation energy (eV/f.u.): -0.38
Volume (Å³/atom): 37.93

POSCAR file:
```
K2In2Pb
1.0
8.058 0.000 0.000
0.000 8.058 0.000
0.000 0.000 5.842
K In Pb
4 4 2
Direct
0.180 0.320 0.000
0.320 0.820 0.000
0.680 0.180 0.000
0.820 0.680 0.000
0.130 0.630 0.500
0.370 0.130 0.500
0.630 0.870 0.500
0.870 0.370 0.500
0.000 0.000 0.500
0.500 0.500 0.500
```